An optimized crystal structure of PrHo2ThAs4. Source: Alexandria, functional GGA-PBE.

The value obtained for the calculated formation energy is -1.502 eV/atom. As for the symmetry: P2/m, No. 10.

Cell: 7.2321 4.1986 7.2679 Å, 90.00 109.50 90.00°
Last column: nearest neighbours and their distance in Å.
Element x y z (fractional)
Pr (0.0000, 0.0000, 0.0000)  6 As 3.01-3.02
Ho (0.5000, 0.0000, 0.5000)  6 As 2.91
Ho (0.5000, 0.5000, 0.0000)  6 As 2.93-2.94
Th (0.0000, 0.5000, 0.5000)  6 As 2.99-3.00
As (0.2598, 0.0000, 0.7510)  3 Ho 2.91-2.93, 2 Th 3.00, 1 Pr 3.01
As (0.2607, 0.5000, 0.2565)  3 Ho 2.91-2.94, 1 Th 2.99, 2 Pr 3.02
As (0.7393, 0.5000, 0.7435)  3 Ho 2.91-2.94, 1 Th 2.99, 2 Pr 3.02
As (0.7402, 0.0000, 0.2490)  3 Ho 2.91-2.93, 2 Th 3.00, 1 Pr 3.01

***

An optimized crystal structure of Pr2Ho3ThAs6. Source: Alexandria, functional GGA-PBE.

The value obtained for the calculated formation energy is -1.507 eV/atom. As for the symmetry: C2/m, No. 12.

Cell: 9.3649 9.3649 8.3864 Å, 102.66 102.66 25.93°
Last column: nearest neighbours and their distance in Å.
Element x y z (fractional)
Pr (0.1675, 0.1675, 0.3358)  6 As 3.01-3.03
Pr (0.8325, 0.8325, 0.6642)  6 As 3.01-3.03
Ho (0.1678, 0.1678, 0.8328)  6 As 2.91-2.93
Ho (0.5000, 0.5000, 0.5000)  6 As 2.91-2.94
Ho (0.8322, 0.8322, 0.1672)  6 As 2.91-2.93
Th (0.5000, 0.5000, 0.0000)  6 As 2.98-2.99
As (0.0029, 0.0029, 0.7470)  3 Ho 2.93-2.94, 2 Th 2.99, 1 Pr 3.03
As (0.3324, 0.3324, 0.9247)  3 Ho 2.92-2.93, 1 Th 2.98, 2 Pr 3.03
As (0.3365, 0.3365, 0.4089)  3 Ho 2.91, 3 Pr 3.01
As (0.6635, 0.6635, 0.5911)  3 Ho 2.91, 3 Pr 3.01
As (0.6676, 0.6676, 0.0753)  3 Ho 2.92-2.93, 1 Th 2.98, 2 Pr 3.03
As (0.9971, 0.9971, 0.2530)  3 Ho 2.93-2.94, 2 Th 2.99, 1 Pr 3.03

***

An optimized crystal structure of PrHoTm2As4. Source: Alexandria, functional GGA-PBE.

The value obtained for the calculated formation energy is -1.495 eV/atom. As for the symmetry: P2/m, No. 10.

Cell: 7.1604 4.1394 7.1638 Å, 90.00 109.48 90.00°
Last column: nearest neighbours and their distance in Å.
Element x y z (fractional)
Pr (0.0000, 0.0000, 0.0000)  6 As 2.98-2.99
Ho (0.0000, 0.5000, 0.5000)  6 As 2.93-2.94
Tm (0.5000, 0.0000, 0.5000)  6 As 2.87
Tm (0.5000, 0.5000, 0.0000)  6 As 2.92
As (0.2567, 0.0000, 0.7466)  3 Tm 2.87-2.92, 2 Ho 2.94, 1 Pr 2.98
As (0.2609, 0.5000, 0.2594)  3 Tm 2.87-2.92, 1 Ho 2.93, 2 Pr 2.99
As (0.7391, 0.5000, 0.7406)  3 Tm 2.87-2.92, 1 Ho 2.93, 2 Pr 2.99
As (0.7433, 0.0000, 0.2534)  3 Tm 2.87-2.92, 2 Ho 2.94, 1 Pr 2.98

***

An optimized crystal structure of PrHoU2As4. Source: Alexandria, functional GGA-PBE.

The value obtained for the calculated formation energy is -1.115 eV/atom. As for the symmetry: P2/m, No. 10.

Cell: 7.1186 4.1071 7.2768 Å, 90.00 109.00 90.00°
Last column: nearest neighbours and their distance in Å.
Element x y z (fractional)
Pr (0.0000, 0.0000, 0.0000)  6 As 2.99
Ho (0.5000, 0.5000, 0.0000)  6 As 2.93-2.94
U (0.0000, 0.5000, 0.5000)  6 As 2.93
U (0.5000, 0.0000, 0.5000)  6 As 2.87
As (0.2545, 0.0000, 0.7447)  3 U 2.87-2.93, 2 Ho 2.93, 1 Pr 2.99
As (0.2597, 0.5000, 0.2602)  3 U 2.87-2.93, 1 Ho 2.94, 2 Pr 2.99
As (0.7403, 0.5000, 0.7398)  3 U 2.87-2.93, 1 Ho 2.94, 2 Pr 2.99
As (0.7455, 0.0000, 0.2553)  3 U 2.87-2.93, 2 Ho 2.93, 1 Pr 2.99

***

An optimized crystal structure of Pr2YHoAs4. Source: Alexandria, functional GGA-PBE.

The value obtained for the calculated formation energy is -1.513 eV/atom. As for the symmetry: P2/m, No. 10.

Cell: 7.2868 4.2149 7.2960 Å, 90.00 109.48 90.00°
Last column: nearest neighbours and their distance in Å.
Element x y z (fractional)
Pr (0.0000, 0.0000, 0.0000)  6 As 3.02
Pr (0.0000, 0.5000, 0.5000)  6 As 3.03
Y (0.5000, 0.0000, 0.5000)  6 As 2.94
Ho (0.5000, 0.5000, 0.0000)  6 As 2.93
As (0.2614, 0.5000, 0.2529)  1 Ho 2.93, 2 Y 2.94, 3 Pr 3.02-3.03
As (0.2619, 0.0000, 0.7548)  2 Ho 2.93, 1 Y 2.94, 3 Pr 3.02-3.03
As (0.7381, 0.0000, 0.2452)  2 Ho 2.93, 1 Y 2.94, 3 Pr 3.02-3.03
As (0.7386, 0.5000, 0.7471)  1 Ho 2.93, 2 Y 2.94, 3 Pr 3.02-3.03

***

An optimized crystal structure of Pr2YHo3As6. Source: Alexandria, functional GGA-PBE.

The value obtained for the calculated formation energy is -1.512 eV/atom. As for the symmetry: C2/m, No. 12.

Cell: 9.3335 9.3335 8.3478 Å, 102.90 102.90 25.87°
Last column: nearest neighbours and their distance in Å.
Element x y z (fractional)
Pr (0.1656, 0.1656, 0.3318)  6 As 2.99-3.02
Pr (0.8344, 0.8344, 0.6682)  6 As 2.99-3.02
Y (0.5000, 0.5000, 0.0000)  6 As 2.95-2.96
Ho (0.1671, 0.1671, 0.8340)  6 As 2.90-2.95
Ho (0.5000, 0.5000, 0.5000)  6 As 2.90-2.95
Ho (0.8329, 0.8329, 0.1660)  6 As 2.90-2.95
As (0.0033, 0.0033, 0.7508)  3 Ho 2.90-2.95, 2 Y 2.96, 1 Pr 2.99
As (0.3334, 0.3334, 0.9256)  3 Ho 2.90-2.95, 1 Y 2.95, 2 Pr 3.00
As (0.3361, 0.3361, 0.4096)  3 Ho 2.90-2.91, 3 Pr 3.01-3.02
As (0.6639, 0.6639, 0.5904)  3 Ho 2.90-2.91, 3 Pr 3.01-3.02
As (0.6666, 0.6666, 0.0744)  3 Ho 2.90-2.95, 1 Y 2.95, 2 Pr 3.00
As (0.9967, 0.9967, 0.2492)  3 Ho 2.90-2.95, 2 Y 2.96, 1 Pr 2.99

***

An optimized crystal structure of HoAsPt. Source: Alexandria, functional GGA-PBE.

The value obtained for the calculated formation energy is -0.447 eV/atom. As for the symmetry: P-3m1, No. 164.

Cell: 3.9102 3.9102 10.7053 Å, 90.00 90.00 120.00°
Last column: nearest neighbours and their distance in Å.
Element x y z (fractional)
Ho (0.3333, 0.6667, 0.1366)  1 Pt 3.00, 3 As 3.02
Ho (0.6667, 0.3333, 0.8634)  1 Pt 3.00, 3 As 3.02
As (0.3333, 0.6667, 0.6763)  3 Pt 2.47
As (0.6667, 0.3333, 0.3237)  3 Pt 2.47
Pt (0.3333, 0.6667, 0.4166)  3 As 2.47
Pt (0.6667, 0.3333, 0.5834)  3 As 2.47

***

An optimized crystal structure of HoAsPt. Source: Alexandria, functional GGA-PBE.

The value obtained for the calculated formation energy is -0.817 eV/atom. As for the symmetry: I4mm, No. 107.

Cell: 4.9951 4.9951 4.9951 Å, 134.39 134.39 66.47°
Last column: nearest neighbours and their distance in Å.
Element x y z (fractional)
Ho (0.0000, 0.0000, 0.0000)  5 As 2.82-3.06, 5 Pt 2.98-3.00
As (0.3369, 0.3369, 0.0000)  1 Pt 2.54, 1 Ho 2.82
Pt (0.6409, 0.6409, 0.0000)  1 As 2.54